An optimized crystal structure of Nd2Sm6Y3Ho. Source: Alexandria, functional PBE-GGA.

a = 6.266 Å, b = 10.850 Å, c = 11.967 Å
α = 90.00°, β = 100.02°, γ = 90.00°
Space group C2/m (No. 12)
Symmetry-distinct sites (fractional):
Nd 0.000 0.167 0.000
Sm 0.248 0.500 0.748
Sm 0.250 0.166 0.748
Y 0.000 0.000 0.500
Y 0.000 0.334 0.500
Ho 0.000 0.500 0.000

Output
**Total energy**: -5.138 eV/atom

An optimized crystal structure of NdSm4Y2Ho2. Source: Alexandria, functional PBE-GGA.

a = 6.235 Å, b = 6.239 Å, c = 8.043 Å
α = 74.98°, β = 82.48°, γ = 80.37°
Space group P-1 (No. 2)
Symmetry-distinct sites (fractional):
Nd 0.000 0.000 0.000
Sm 0.111 0.557 0.776
Sm 0.445 0.222 0.113
Y 0.333 0.667 0.336
Ho 0.223 0.110 0.555

Output
**Total energy**: -5.063 eV/atom

An optimized crystal structure of Nd2SmY6Ho2. Source: Alexandria, functional PBE-GGA.

a = 5.699 Å, b = 12.074 Å, c = 10.693 Å
α = 90.00°, β = 90.10°, γ = 90.00°
Space group C2/m (No. 12)
Symmetry-distinct sites (fractional):
Nd 0.000 0.135 0.000
Sm 0.000 0.500 0.500
Y 0.001 0.000 0.293
Y 0.001 0.346 0.212
Ho 0.000 0.204 0.500

Output
**Total energy**: -5.505 eV/atom

An optimized crystal structure of Nd2Sm2YHo. Source: Alexandria, functional PBE-GGA.

a = 7.093 Å, b = 5.706 Å, c = 9.897 Å
α = 90.00°, β = 90.00°, γ = 90.00°
Space group Pmma (No. 51)
Symmetry-distinct sites (fractional):
Nd 0.000 0.000 0.000
Nd 0.250 0.500 0.176
Sm 0.250 0.000 0.331
Sm 0.250 0.500 0.838
Y 0.000 0.500 0.500
Ho 0.250 0.000 0.660

Output
**Total energy**: -4.947 eV/atom

An optimized crystal structure of NdSm2Y6Ho. Source: Alexandria, functional PBE-GGA.

a = 9.106 Å, b = 15.017 Å, c = 9.855 Å
α = 90.00°, β = 100.29°, γ = 90.00°
Space group C2/c (No. 15)
Symmetry-distinct sites (fractional):
Nd 0.000 0.096 0.250
Sm 0.239 0.451 0.044
Y 0.066 0.313 0.444
Y 0.102 0.103 0.620
Y 0.198 0.277 0.817
Ho 0.000 0.481 0.750

Output
**Total energy**: -5.638 eV/atom

An optimized crystal structure of Nd6Sm3YHo2. Source: Alexandria, functional PBE-GGA.

a = 6.310 Å, b = 10.929 Å, c = 11.975 Å
α = 90.00°, β = 100.10°, γ = 90.00°
Space group C2/m (No. 12)
Symmetry-distinct sites (fractional):
Nd 0.249 0.000 0.248
Nd 0.250 0.167 0.753
Sm 0.000 0.000 0.500
Sm 0.000 0.333 0.500
Y 0.000 0.500 0.000
Ho 0.000 0.167 0.000

Output
**Total energy**: -4.853 eV/atom

An optimized crystal structure of Nd3Sm2YHo6. Source: Alexandria, functional PBE-GGA.

a = 6.222 Å, b = 10.773 Å, c = 11.824 Å
α = 90.00°, β = 100.06°, γ = 90.00°
Space group C2/m (No. 12)
Symmetry-distinct sites (fractional):
Nd 0.000 0.000 0.000
Nd 0.000 0.333 0.000
Sm 0.000 0.167 0.500
Y 0.000 0.500 0.500
Ho 0.249 0.000 0.748
Ho 0.250 0.167 0.252

Output
**Total energy**: -4.790 eV/atom

An optimized crystal structure of Nd2SmYHo. Source: Alexandria, functional PBE-GGA.

a = 8.146 Å, b = 6.817 Å, c = 6.220 Å
α = 90.00°, β = 90.07°, γ = 90.00°
Space group P2/c (No. 13)
Symmetry-distinct sites (fractional):
Nd 0.196 0.193 0.251
Sm 0.500 0.500 0.000
Y 0.500 0.084 0.750
Ho 0.000 0.343 0.750

Output
**Total energy**: -4.788 eV/atom

Calculated ΔH_f (0 K) (eV per atom), listed in the same order as above: 0.014 0.018 0.149 0.055 0.118 0.012 0.016 0.271
Calculated DOS at the Fermi energy (states/eV/cell), listed in the same order as above: 32.069 13.266 36.154 18.143 63.048 30.165 29.337 12.080